Entry 1:
# Sr2TeHOs, optimized geometry, DFT GGA-PBE
data_Sr2TeHOs
_cell_length_a 5.875
_cell_length_b 5.875
_cell_length_c 3.632
_cell_angle_alpha 90.00
_cell_angle_beta 90.00
_cell_angle_gamma 90.00
_space_group_name_H-M_alt 'P 4/m m m'
_space_group_IT_number 123
_space_group_name_Hall '-P 4 2'
loop_
_atom_site_label
_atom_site_fract_x
_atom_site_fract_y
_atom_site_fract_z
Sr1 0.000 0.500 0.000
Te1 0.000 0.000 0.500
H1 0.500 0.500 0.500
Os1 0.500 0.500 0.000
# M_tot, μB/cell: 0.73
# VASP energy, eV/atom: -4.24



Entry 2:
# TaHOs3, optimized geometry, DFT GGA-PBE
data_TaHOs3
_cell_length_a 2.8983
_cell_length_b 2.8983
_cell_length_c 17.8339
_cell_angle_alpha 90.00
_cell_angle_beta 90.00
_cell_angle_gamma 120.00
_space_group_name_H-M_alt 'P 63/m m c'
_space_group_IT_number 194
_space_group_name_Hall '-P 6c 2c'
loop_
_atom_site_label
_atom_site_fract_x
_atom_site_fract_y
_atom_site_fract_z
Ta1 0.0000 0.0000 0.0000
H1 0.3333 0.6667 0.2500
Os1 0.0000 0.0000 0.2500
Os2 0.3333 0.6667 0.1246
# M_tot, μB/cell: 0.00
# VASP energy, eV/atom: -9.44
# ΔE to the lowest computed polymorph, meV per atom: 431



Entry 3:
# TaH3Os, optimized geometry, DFT GGA-PBE
data_TaH3Os
_cell_length_a 3.484
_cell_length_b 3.484
_cell_length_c 3.484
_cell_angle_alpha 90.00
_cell_angle_beta 90.00
_cell_angle_gamma 90.00
_space_group_name_H-M_alt 'P m -3 m'
_space_group_IT_number 221
_space_group_name_Hall '-P 4 2 3'
loop_
_atom_site_label
_atom_site_fract_x
_atom_site_fract_y
_atom_site_fract_z
Ta1 0.000 0.000 0.000
H1 0.000 0.500 0.500
Os1 0.500 0.500 0.500
# M_tot, μB/cell: 0.00
# VASP energy, eV/atom: -6.26